# Mg2AsRh (SCAN, PBEsol geometry)
# calculated formation energy: -528.8 meV per atom
# energy: -66.02 eV per formula unit
data_Mg2AsRh
_symmetry_space_group_name_H-M 'P 1'
_symmetry_Int_Tables_number 1
_cell_length_a 3.089
_cell_length_b 4.397
_cell_length_c 5.855
_cell_angle_alpha 112.06
_cell_angle_beta 105.30
_cell_angle_gamma 90.00
loop_
_symmetry_equiv_pos_as_xyz
'x,y,z'
loop_
_atom_site_label
_atom_site_fract_x
_atom_site_fract_y
_atom_site_fract_z
As1 0.800 0.300 0.599
Mg1 0.008 0.008 0.017
Mg2 0.210 0.710 0.421
Rh1 0.482 0.482 0.963

# AlTcOF2 (SCAN, PBEsol geometry)
# energy relative to the elements, uncorrected: -1.73 eV per atom
# energy: -64.77 eV per formula unit
data_AlTcOF2
_symmetry_space_group_name_H-M 'P 1'
_symmetry_Int_Tables_number 1
_cell_length_a 3.547
_cell_length_b 3.961
_cell_length_c 3.961
_cell_angle_alpha 90.00
_cell_angle_beta 90.00
_cell_angle_gamma 90.00
loop_
_symmetry_equiv_pos_as_xyz
'x,y,z'
loop_
_atom_site_label
_atom_site_fract_x
_atom_site_fract_y
_atom_site_fract_z
F1 0.000 0.000 0.500
F2 0.000 0.500 0.000
Tc1 0.500 0.500 0.500
O1 0.500 0.000 0.000
Al1 0.000 0.000 0.000

# Ni2SeBr (SCAN, PBEsol geometry)
# energy relative to the elements, uncorrected: 0.13 eV per atom
# energy: -71.37 eV per formula unit
data_Ni2SeBr
_symmetry_space_group_name_H-M 'P 1'
_symmetry_Int_Tables_number 1
_cell_length_a 3.126
_cell_length_b 3.241
_cell_length_c 6.276
_cell_angle_alpha 90.00
_cell_angle_beta 90.00
_cell_angle_gamma 90.00
loop_
_symmetry_equiv_pos_as_xyz
'x,y,z'
loop_
_atom_site_label
_atom_site_fract_x
_atom_site_fract_y
_atom_site_fract_z
Br1 0.500 0.500 0.500
Ni1 0.000 0.500 0.811
Ni2 0.000 0.500 0.189
Se1 0.500 0.000 0.000

# LaZnCd (SCAN, PBEsol geometry)
# calculated formation energy: -410.6 meV per atom
# energy: -88.27 eV per formula unit
data_LaZnCd
_symmetry_space_group_name_H-M 'P 1'
_symmetry_Int_Tables_number 1
_cell_length_a 3.459
_cell_length_b 4.841
_cell_length_c 4.841
_cell_angle_alpha 120.00
_cell_angle_beta 90.00
_cell_angle_gamma 90.00
loop_
_symmetry_equiv_pos_as_xyz
'x,y,z'
loop_
_atom_site_label
_atom_site_fract_x
_atom_site_fract_y
_atom_site_fract_z
Zn1 0.500 0.667 0.333
Cd1 0.500 0.000 0.000
La1 0.000 0.333 0.667

# Cd2HgAu (SCAN, PBEsol geometry)
# calculated formation energy: -56.6 meV per atom
# energy: -198.38 eV per formula unit
data_Cd2HgAu
_symmetry_space_group_name_H-M 'P 1'
_symmetry_Int_Tables_number 1
_cell_length_a 4.239
_cell_length_b 4.239
_cell_length_c 5.261
_cell_angle_alpha 113.75
_cell_angle_beta 113.75
_cell_angle_gamma 90.00
loop_
_symmetry_equiv_pos_as_xyz
'x,y,z'
loop_
_atom_site_label
_atom_site_fract_x
_atom_site_fract_y
_atom_site_fract_z
Au1 0.250 0.750 0.500
Hg1 0.500 0.500 0.000
Cd1 0.000 0.000 0.000
Cd2 0.750 0.250 0.500

# Mn2FeOs (SCAN, PBEsol geometry)
# calculated formation energy: -21.7 meV per atom
# energy: -126.61 eV per formula unit
data_Mn2FeOs
_symmetry_space_group_name_H-M 'P 1'
_symmetry_Int_Tables_number 1
_cell_length_a 2.557
_cell_length_b 3.550
_cell_length_c 5.670
_cell_angle_alpha 90.00
_cell_angle_beta 116.83
_cell_angle_gamma 90.00
loop_
_symmetry_equiv_pos_as_xyz
'x,y,z'
loop_
_atom_site_label
_atom_site_fract_x
_atom_site_fract_y
_atom_site_fract_z
Fe1 0.258 0.500 0.757
Mn1 0.999 0.000 0.000
Mn2 0.739 0.500 0.239
Os1 0.504 0.000 0.504